No. 1
Below is a relaxed structure of Ho2Er15Sc2, with properties calculated at the GGA-PBE level.

- Crystal system: trigonal
- Formation energy from the elements: 297 meV per atom
- Final energy: -4.4536 eV/atom

CIF file:
```
data_Ho2Er15Sc2
_space_group_name_H-M_alt 'R -3 m'
_space_group_IT_number 166
_space_group_name_Hall '-R 3 2"'
_cell_length_a 10.9629
_cell_length_b 10.9629
_cell_length_c 17.3287
_cell_angle_alpha 90.00
_cell_angle_beta 90.00
_cell_angle_gamma 120.00
loop_
_atom_site_label
_atom_site_fract_x
_atom_site_fract_y
_atom_site_fract_z
_atom_site_occupancy
Ho1 0.0000 0.0000 0.1795 1
Er1 0.0000 0.2959 0.5000 1
Er2 0.0000 0.5000 0.0000 1
Er3 0.0073 0.5036 0.6372 1
Sc1 0.0000 0.0000 0.4089 1
```


No. 2
Below is a relaxed structure of Ho8Er6Sc, with properties calculated at the GGA-PBE level.

- Crystal system: trigonal
- Formation energy from the elements: 148 meV per atom
- Final energy: -4.5411 eV/atom
- Energy relative to the lowest polymorph listed for this composition: 24 meV per atom

CIF file:
```
data_Ho8Er6Sc
_space_group_name_H-M_alt 'P -3'
_space_group_IT_number 147
_cell_length_a 9.7105
_cell_length_b 9.7105
_cell_length_c 5.6848
_cell_angle_alpha 90.00
_cell_angle_beta 90.00
_cell_angle_gamma 120.00
loop_
_space_group_symop_operation_xyz
'x,y,z'
'-x,-y,-z'
'-y,x-y,z'
'y,-x+y,-z'
'-x+y,-x,z'
'x-y,x,-z'
loop_
_atom_site_label
_atom_site_fract_x
_atom_site_fract_y
_atom_site_fract_z
_atom_site_occupancy
Ho1 0.0510 0.2710 0.2674 1
Ho2 0.3333 0.6667 0.2658 1
Er1 0.0918 0.4702 0.7591 1
Sc1 0.0000 0.0000 0.0000 1
```


No. 3
Below is a relaxed structure of Ho2ErSc4, with properties calculated at the GGA-PBE level.

- Crystal system: orthorhombic
- Formation energy from the elements: 178 meV per atom
- Final energy: -5.4002 eV/atom
- Energy relative to the lowest polymorph listed for this composition: 4 meV per atom

CIF file:
```
data_Ho2ErSc4
_space_group_name_H-M_alt 'C m m m'
_space_group_IT_number 65
_space_group_name_Hall '-C 2 2'
_cell_length_a 10.5608
_cell_length_b 11.0103
_cell_length_c 3.3606
_cell_angle_alpha 90.00
_cell_angle_beta 90.00
_cell_angle_gamma 90.00
loop_
_atom_site_label
_atom_site_fract_x
_atom_site_fract_y
_atom_site_fract_z
_atom_site_occupancy
Ho1 0.1967 0.0000 0.0000 1
Er1 0.0000 0.5000 0.5000 1
Sc1 0.0000 0.2296 0.0000 1
Sc2 0.2500 0.2500 0.5000 1
```


No. 4
Below is a relaxed structure of HoEr4Sc4, with properties calculated at the GGA-PBE level.

- Crystal system: tetragonal
- Formation energy from the elements: 52 meV per atom
- Final energy: -5.2990 eV/atom

CIF file:
```
data_HoEr4Sc4
_space_group_name_H-M_alt 'I 4/m m m'
_space_group_IT_number 139
_space_group_name_Hall '-I 4 2'
_cell_length_a 10.2017
_cell_length_b 10.2017
_cell_length_c 4.8011
_cell_angle_alpha 90.00
_cell_angle_beta 90.00
_cell_angle_gamma 90.00
loop_
_atom_site_label
_atom_site_fract_x
_atom_site_fract_y
_atom_site_fract_z
_atom_site_occupancy
Ho1 0.0000 0.0000 0.0000 1
Er1 0.0000 0.3294 0.0000 1
Sc1 0.1666 0.1666 0.5000 1
```


No. 5
Below is a relaxed structure of Ho4Er3Sc, with properties calculated at the GGA-PBE level.

- Crystal system: tetragonal
- Formation energy from the elements: 95 meV per atom
- Final energy: -4.6963 eV/atom
- Energy relative to the lowest polymorph listed for this composition: 86 meV per atom

CIF file:
```
data_Ho4Er3Sc
_space_group_name_H-M_alt 'I 4/m c m'
_space_group_IT_number 140
_space_group_name_Hall '-I 4 2c'
_cell_length_a 8.7471
_cell_length_b 8.7471
_cell_length_c 12.4816
_cell_angle_alpha 90.00
_cell_angle_beta 90.00
_cell_angle_gamma 90.00
loop_
_atom_site_label
_atom_site_fract_x
_atom_site_fract_y
_atom_site_fract_z
_atom_site_occupancy
Ho1 0.1505 0.3495 0.1626 1
Er1 0.0000 0.0000 0.2500 1
Er2 0.1472 0.3528 0.5000 1
Sc1 0.0000 0.0000 0.0000 1
```


No. 6
Below is a relaxed structure of Ho7ErSc3, with properties calculated at the GGA-PBE level.

- Crystal system: orthorhombic
- Formation energy from the elements: 276 meV per atom
- Final energy: -4.7789 eV/atom

CIF file:
```
data_Ho7ErSc3
_space_group_name_H-M_alt 'I m m m'
_space_group_IT_number 71
_space_group_name_Hall '-I 2 2'
_cell_length_a 5.6677
_cell_length_b 10.5741
_cell_length_c 11.0307
_cell_angle_alpha 90.00
_cell_angle_beta 90.00
_cell_angle_gamma 90.00
loop_
_atom_site_label
_atom_site_fract_x
_atom_site_fract_y
_atom_site_fract_z
_atom_site_occupancy
Ho1 0.0000 0.0000 0.0000 1
Ho2 0.0000 0.1958 0.5000 1
Ho3 0.0000 0.3098 0.2058 1
Er1 0.0000 0.5000 0.5000 1
Sc1 0.0000 0.0000 0.2872 1
Sc2 0.0000 0.5000 0.0000 1
```


No. 7
Below is a relaxed structure of HoErSc2, with properties calculated at the GGA-PBE level.

- Crystal system: trigonal
- Formation energy from the elements: 42 meV per atom
- Final energy: -5.4094 eV/atom
- Energy relative to the lowest polymorph listed for this composition: 0 meV per atom

CIF file:
```
data_HoErSc2
_space_group_name_H-M_alt 'P -3 m 1'
_space_group_IT_number 164
_space_group_name_Hall '-P 3 2"'
_cell_length_a 3.4075
_cell_length_b 3.4075
_cell_length_c 10.8977
_cell_angle_alpha 90.00
_cell_angle_beta 90.00
_cell_angle_gamma 120.00
loop_
_atom_site_label
_atom_site_fract_x
_atom_site_fract_y
_atom_site_fract_z
_atom_site_occupancy
Ho1 0.0000 0.0000 0.0000 1
Er1 0.0000 0.0000 0.5000 1
Sc1 0.3333 0.6667 0.2505 1
```


No. 8
Below is a relaxed structure of Ho5Er2Sc, with properties calculated at the GGA-PBE level.

- Crystal system: tetragonal
- Formation energy from the elements: 99 meV per atom
- Final energy: -4.6946 eV/atom
- Energy relative to the lowest polymorph listed for this composition: 89 meV per atom

CIF file:
```
data_Ho5Er2Sc
_space_group_name_H-M_alt 'I 4/m c m'
_space_group_IT_number 140
_space_group_name_Hall '-I 4 2c'
_cell_length_a 8.8341
_cell_length_b 8.8341
_cell_length_c 12.3244
_cell_angle_alpha 90.00
_cell_angle_beta 90.00
_cell_angle_gamma 90.00
loop_
_atom_site_label
_atom_site_fract_x
_atom_site_fract_y
_atom_site_fract_z
_atom_site_occupancy
Ho1 0.0000 0.0000 0.0000 1
Ho2 0.1527 0.3473 0.1652 1
Er1 0.1421 0.3579 0.5000 1
Sc1 0.0000 0.0000 0.2500 1
```


No. 9
Below is a relaxed structure of Ho5ErSc6, with properties calculated at the GGA-PBE level.

- Crystal system: monoclinic
- Formation energy from the elements: 56 meV per atom
- Final energy: -5.3975 eV/atom

CIF file:
```
data_Ho5ErSc6
_space_group_name_H-M_alt 'C 1 2/m 1'
_space_group_IT_number 12
_cell_length_a 5.8991
_cell_length_b 10.2127
_cell_length_c 11.1186
_cell_angle_alpha 90.00
_cell_angle_beta 100.17
_cell_angle_gamma 90.00
loop_
_space_group_symop_operation_xyz
'x,y,z'
'-x,-y,-z'
'-x,y,-z'
'x,-y,z'
'x+1/2,y+1/2,z'
'-x+1/2,-y+1/2,-z'
'-x+1/2,y+1/2,-z'
'x+1/2,-y+1/2,z'
loop_
_atom_site_label
_atom_site_fract_x
_atom_site_fract_y
_atom_site_fract_z
_atom_site_occupancy
Ho1 0.0000 0.0000 0.0000 1
Ho2 0.0000 0.1667 0.5000 1
Ho3 0.0000 0.3334 0.0000 1
Er1 0.0000 0.5000 0.5000 1
Sc1 0.2502 0.0000 0.7498 1
Sc2 0.2499 0.1667 0.2502 1
```


No. 10
Below is a relaxed structure of Ho3Er2Sc4, with properties calculated at the GGA-PBE level.

- Crystal system: monoclinic
- Formation energy from the elements: 115 meV per atom
- Final energy: -5.2385 eV/atom

CIF file:
```
data_Ho3Er2Sc4
_space_group_name_H-M_alt 'C 1 2/c 1'
_space_group_IT_number 15
_cell_length_a 15.7827
_cell_length_b 11.0058
_cell_length_c 5.8188
_cell_angle_alpha 90.00
_cell_angle_beta 95.95
_cell_angle_gamma 90.00
loop_
_space_group_symop_operation_xyz
'x,y,z'
'-x,-y,-z'
'-x,y,-z+1/2'
'x,-y,z+1/2'
'x+1/2,y+1/2,z'
'-x+1/2,-y+1/2,-z'
'-x+1/2,y+1/2,-z+1/2'
'x+1/2,-y+1/2,z+1/2'
loop_
_atom_site_label
_atom_site_fract_x
_atom_site_fract_y
_atom_site_fract_z
_atom_site_occupancy
Ho1 0.0000 0.1020 0.2500 1
Ho2 0.1623 0.4044 0.1149 1
Er1 0.1279 0.1408 0.8154 1
Sc1 0.0418 0.3611 0.5205 1
Sc2 0.2209 0.1424 0.3445 1
```


Number 1: theoretical density 8089 kg/m3. Number 2: theoretical density 8470 kg/m3. Number 3: theoretical density 5753 kg/m3. Number 4: theoretical density 6738 kg/m3. Number 5: theoretical density 8391 kg/m3. Number 6: theoretical density 7318 kg/m3. Number 7: theoretical density 6397 kg/m3. Number 8: theoretical density 8316 kg/m3. Number 9: theoretical density 6355 kg/m3. Number 10: theoretical density 6668 kg/m3.